[1]
A plane-wave DFT calculation with PBE was carried out for a geometry-optimized Rb2Pu3S6 structure.

Properties
- E_tot (eV per atom) = -7.9217
- total magnetic moment (Bohr magnetons per cell) = 14.00

Lattice parameters (Å, degrees): 7.0395 7.0395 8.1396 98.28 98.28 119.99
Sites, in units of the cell vectors:
Rb1 0.1668 0.8332 0.0000
Rb2 0.8332 0.1668 0.0000
Pu1 0.0000 0.0000 0.5000
Pu2 0.3340 0.6660 0.5000
Pu3 0.6660 0.3340 0.5000
S1 0.0587 0.3941 0.6823
S2 0.2706 0.2706 0.3175
S3 0.3941 0.0587 0.6823
S4 0.6059 0.9413 0.3177
S5 0.7294 0.7294 0.6825
S6 0.9413 0.6059 0.3177

[2]
A plane-wave DFT calculation with PBE was carried out for a geometry-optimized Rb5PuS4 structure.

Properties
- E_tot (eV per atom) = -4.6338
- total magnetic moment (Bohr magnetons per cell) = 4.92

Lattice parameters (Å, degrees): 10.1272 10.1272 8.7886 100.16 100.16 25.72
Sites, in units of the cell vectors:
Rb1 0.0000 0.0000 0.0000
Rb2 0.3243 0.3243 0.6361
Rb3 0.3496 0.3496 0.1661
Rb4 0.6504 0.6504 0.8339
Rb5 0.6757 0.6757 0.3639
Pu1 0.0000 0.0000 0.5000
S1 0.1432 0.1432 0.5922
S2 0.4903 0.4903 0.7063
S3 0.5097 0.5097 0.2937
S4 0.8568 0.8568 0.4078

[3]
A plane-wave DFT calculation with PBE was carried out for a geometry-optimized Rb2Pu2S5 structure.

Properties
- E_tot (eV per atom) = -7.0648
- total magnetic moment (Bohr magnetons per cell) = 16.00

Lattice parameters (Å, degrees): 8.9389 8.9389 7.6187 90.00 90.00 50.40
Sites, in units of the cell vectors:
Rb1 0.2061 0.2061 0.0000
Rb2 0.2939 0.2939 0.5000
Rb3 0.7061 0.7061 0.5000
Rb4 0.7939 0.7939 0.0000
Pu1 0.1673 0.8327 0.6667
Pu2 0.3327 0.6673 0.1667
Pu3 0.6673 0.3327 0.8333
Pu4 0.8327 0.1673 0.3333
S1 0.0000 0.0000 0.0000
S2 0.0368 0.7517 0.3576
S3 0.2483 0.9632 0.3576
S4 0.2517 0.5368 0.8576
S5 0.4632 0.7483 0.8576
S6 0.5000 0.5000 0.5000
S7 0.5368 0.2517 0.1424
S8 0.7483 0.4632 0.1424
S9 0.7517 0.0368 0.6424
S10 0.9632 0.2483 0.6424

[4]
A plane-wave DFT calculation with PBE was carried out for a geometry-optimized Rb4PuS4 structure.

Properties
- E_tot (eV per atom) = -4.9679
- total magnetic moment (Bohr magnetons per cell) = 4.00

Lattice parameters (Å, degrees): 8.8520 8.8520 8.8520 126.63 126.63 78.85
Sites, in units of the cell vectors:
Rb1 0.0000 0.5000 0.5000
Rb2 0.2035 0.2035 0.0000
Rb3 0.5000 0.0000 0.5000
Rb4 0.7965 0.7965 0.0000
Pu1 0.5000 0.5000 0.0000
S1 0.2038 0.5803 0.0000
S2 0.4197 0.4197 0.6234
S3 0.5803 0.2038 0.0000
S4 0.7962 0.7962 0.3766

[5]
A plane-wave DFT calculation with PBE was carried out for a geometry-optimized RbPu3S6 structure.

Properties
- E_tot (eV per atom) = -8.3299
- total magnetic moment (Bohr magnetons per cell) = 8.11

Lattice parameters (Å, degrees): 11.8172 4.0642 12.3499 90.00 106.80 90.00
Sites, in units of the cell vectors:
Rb1 0.1398 0.2500 0.4215
Rb2 0.8602 0.7500 0.5785
Pu1 0.1559 0.7500 0.0502
Pu2 0.2412 0.2500 0.7924
Pu3 0.4662 0.2500 0.3494
Pu4 0.5338 0.7500 0.6506
Pu5 0.7588 0.7500 0.2076
Pu6 0.8441 0.2500 0.9498
S1 0.0571 0.2500 0.9025
S2 0.1525 0.7500 0.6528
S3 0.2447 0.2500 0.1919
S4 0.3180 0.7500 0.9363
S5 0.3751 0.7500 0.4446
S6 0.4484 0.2500 0.7434
S7 0.5516 0.7500 0.2566
S8 0.6249 0.2500 0.5554
S9 0.6820 0.2500 0.0637
S10 0.7553 0.7500 0.8081
S11 0.8475 0.2500 0.3472
S12 0.9429 0.7500 0.0975

[6]
A plane-wave DFT calculation with PBE was carried out for a geometry-optimized RbPu4S6 structure.

Properties
- E_tot (eV per atom) = -9.1883
- total magnetic moment (Bohr magnetons per cell) = 41.99

Lattice parameters (Å, degrees): 6.9771 6.9771 20.9409 90.00 90.00 146.44
Sites, in units of the cell vectors:
Rb1 0.1573 0.8427 0.7500
Rb2 0.8427 0.1573 0.2500
Pu1 0.0981 0.9019 0.1292
Pu2 0.0981 0.9019 0.3708
Pu3 0.3651 0.6349 0.0413
Pu4 0.3651 0.6349 0.4587
Pu5 0.6349 0.3651 0.5413
Pu6 0.6349 0.3651 0.9587
Pu7 0.9019 0.0981 0.6292
Pu8 0.9019 0.0981 0.8708
S1 0.0000 0.0000 0.0000
S2 0.0000 0.0000 0.5000
S3 0.1511 0.8489 0.2500
S4 0.2705 0.7295 0.5793
S5 0.2705 0.7295 0.9207
S6 0.4682 0.5318 0.1499
S7 0.4682 0.5318 0.3501
S8 0.5318 0.4682 0.6499
S9 0.5318 0.4682 0.8501
S10 0.7295 0.2705 0.0793
S11 0.7295 0.2705 0.4207
S12 0.8489 0.1511 0.7500

[7]
A plane-wave DFT calculation with PBE was carried out for a geometry-optimized Rb3Pu3SbS8 structure.

Properties
- E_tot (eV per atom) = -6.8358
- total magnetic moment (Bohr magnetons per cell) = 4.68

Lattice parameters (Å, degrees): 8.2256 8.2256 9.0676 117.09 117.09 59.70
Sites, in units of the cell vectors:
Rb1 0.0000 0.0000 0.0000
Rb2 0.0000 0.5000 0.0000
Rb3 0.5000 0.0000 0.0000
Pu1 0.0000 0.5000 0.5000
Pu2 0.5000 0.0000 0.5000
Pu3 0.5000 0.5000 0.5000
Sb1 0.0000 0.0000 0.5000
S1 0.2286 0.2286 0.6831
S2 0.2294 0.7277 0.6856
S3 0.2695 0.2695 0.3111
S4 0.2723 0.7706 0.3144
S5 0.7277 0.2294 0.6856
S6 0.7305 0.7305 0.6889
S7 0.7706 0.2723 0.3144
S8 0.7714 0.7714 0.3169

[8]
A plane-wave DFT calculation with PBE was carried out for a geometry-optimized Rb3Pu3ScS8 structure.

Properties
- E_tot (eV per atom) = -7.2851
- total magnetic moment (Bohr magnetons per cell) = 14.00

Lattice parameters (Å, degrees): 9.0480 9.0480 9.0480 52.75 52.75 52.75
Sites, in units of the cell vectors:
Rb1 0.0000 0.5000 0.5000
Rb2 0.5000 0.0000 0.5000
Rb3 0.5000 0.5000 0.0000
Pu1 0.0000 0.0000 0.5000
Pu2 0.0000 0.5000 0.0000
Pu3 0.5000 0.0000 0.0000
Sc1 0.5000 0.5000 0.5000
S1 0.2296 0.2296 0.2296
S2 0.2383 0.7212 0.7212
S3 0.2788 0.2788 0.7617
S4 0.2788 0.7617 0.2788
S5 0.7212 0.2383 0.7212
S6 0.7212 0.7212 0.2383
S7 0.7617 0.2788 0.2788
S8 0.7704 0.7704 0.7704

[9]
A plane-wave DFT calculation with PBE was carried out for a geometry-optimized Rb4Pu3ScS8 structure.

Properties
- E_tot (eV per atom) = -6.9744
- total magnetic moment (Bohr magnetons per cell) = 15.00

Lattice parameters (Å, degrees): 8.9697 8.9697 8.9697 54.10 54.10 54.10
Sites, in units of the cell vectors:
Rb1 0.0000 0.0000 0.0000
Rb2 0.0000 0.5000 0.5000
Rb3 0.5000 0.0000 0.5000
Rb4 0.5000 0.5000 0.0000
Pu1 0.0000 0.0000 0.5000
Pu2 0.0000 0.5000 0.0000
Pu3 0.5000 0.0000 0.0000
Sc1 0.5000 0.5000 0.5000
S1 0.2301 0.2301 0.2301
S2 0.2417 0.7227 0.7227
S3 0.2773 0.2773 0.7583
S4 0.2773 0.7583 0.2773
S5 0.7227 0.2417 0.7227
S6 0.7227 0.7227 0.2417
S7 0.7583 0.2773 0.2773
S8 0.7699 0.7699 0.7699

[10]
A plane-wave DFT calculation with PBE was carried out for a geometry-optimized Rb2Pu2ScS6 structure.

Properties
- E_tot (eV per atom) = -7.2224
- total magnetic moment (Bohr magnetons per cell) = 9.00

Lattice parameters (Å, degrees): 6.8616 6.8616 8.1468 98.08 98.08 119.81
Sites, in units of the cell vectors:
Rb1 0.1670 0.8330 0.0000
Rb2 0.8330 0.1670 0.0000
Pu1 0.3338 0.6662 0.5000
Pu2 0.6662 0.3338 0.5000
Sc1 0.0000 0.0000 0.5000
S1 0.0599 0.3850 0.6819
S2 0.2610 0.2610 0.3188
S3 0.3850 0.0599 0.6819
S4 0.6150 0.9401 0.3181
S5 0.7390 0.7390 0.6812
S6 0.9401 0.6150 0.3181

[11]
A plane-wave DFT calculation with PBE was carried out for a geometry-optimized RbPuSiS4 structure.

Properties
- E_tot (eV per atom) = -6.5581
- total magnetic moment (Bohr magnetons per cell) = 10.00

Lattice parameters (Å, degrees): 6.5107 6.6246 9.1091 90.00 107.75 90.00
Sites, in units of the cell vectors:
Rb1 0.2302 0.2500 0.4357
Rb2 0.7698 0.7500 0.5643
Pu1 0.2695 0.2500 0.9492
Pu2 0.7305 0.7500 0.0508
Si1 0.2828 0.7500 0.1694
Si2 0.7172 0.2500 0.8306
S1 0.0875 0.7500 0.9350
S2 0.0916 0.7500 0.3201
S3 0.4995 0.0010 0.2057
S4 0.4995 0.4990 0.2057
S5 0.5005 0.5010 0.7943
S6 0.5005 0.9990 0.7943
S7 0.9084 0.2500 0.6799
S8 0.9125 0.2500 0.0650

[12]
A plane-wave DFT calculation with PBE was carried out for a geometry-optimized Rb3Sm2PuS6 structure.

Properties
- E_tot (eV per atom) = -6.0142
- total magnetic moment (Bohr magnetons per cell) = 5.00

Lattice parameters (Å, degrees): 7.2312 7.2312 8.0494 98.61 98.61 120.00
Sites, in units of the cell vectors:
Rb1 0.0000 0.0000 0.0000
Rb2 0.3326 0.6674 0.0000
Rb3 0.6674 0.3326 0.0000
Sm1 0.1666 0.8334 0.5000
Sm2 0.8334 0.1666 0.5000
Pu1 0.5000 0.5000 0.5000
S1 0.1039 0.4354 0.3062
S2 0.2332 0.2332 0.6941
S3 0.4354 0.1039 0.3062
S4 0.5646 0.8961 0.6938
S5 0.7668 0.7668 0.3059
S6 0.8961 0.5646 0.6938

Q: Among the records above, which one has the lowest total magnetic moment?
A: Rb4PuS4